{
  "formula": "Na2Ce2Hg5",
  "functional": "PBE",
  "state": "relaxed",
  "lattice": [[8.022, 0.000, 0.000], [0.000, 8.027, 0.000], [0.000, -4.013, 7.741]],
  "species": ["Na", "Na", "Na", "Na", "Ce", "Ce", "Ce", "Ce", "Hg", "Hg", "Hg", "Hg", "Hg", "Hg", "Hg", "Hg", "Hg", "Hg"],
  "frac_coords": [[0.626, 0.873, 0.000], [0.374, 0.127, 0.000], [0.126, 0.627, 0.000], [0.874, 0.373, 0.000], [0.000, 0.218, 0.436], [0.500, 0.718, 0.436], [0.000, 0.782, 0.564], [0.500, 0.282, 0.564], [0.000, 0.000, 0.000], [0.500, 0.500, 0.000], [0.811, 0.822, 0.266], [0.189, 0.444, 0.266], [0.311, 0.944, 0.266], [0.689, 0.322, 0.266], [0.189, 0.178, 0.734], [0.811, 0.556, 0.734], [0.689, 0.056, 0.734], [0.311, 0.678, 0.734]]
}

=====

{
  "formula": "AlZn7Ag4",
  "functional": "PBE",
  "state": "relaxed",
  "de_polymorph_ev_per_atom": 0.105,
  "lattice": [[-4.694, 0.766, 0.572], [-3.731, -5.269, -3.504], [-1.908, -1.534, 6.455]],
  "species": ["Al", "Zn", "Zn", "Zn", "Zn", "Zn", "Zn", "Zn", "Ag", "Ag", "Ag", "Ag"],
  "frac_coords": [[0.000, 0.000, 0.000], [0.831, 0.721, 0.617], [0.169, 0.279, 0.383], [0.004, 0.756, 0.236], [0.996, 0.244, 0.764], [0.356, 0.574, 0.715], [0.500, 0.000, 0.000], [0.644, 0.426, 0.285], [0.673, 0.139, 0.516], [0.327, 0.861, 0.484], [0.688, 0.628, 0.996], [0.312, 0.372, 0.004]]
}

=====

{
  "formula": "AcLa4Pr10",
  "functional": "PBE",
  "state": "relaxed",
  "lattice": [[0.194, -3.996, 5.763], [7.838, -6.061, -0.197], [5.188, 4.446, 7.178]],
  "species": ["Ac", "La", "La", "La", "La", "Pr", "Pr", "Pr", "Pr", "Pr", "Pr", "Pr", "Pr", "Pr", "Pr"],
  "frac_coords": [[0.000, 0.000, 0.000], [0.433, 0.890, 0.244], [0.677, 0.756, 0.890], [0.323, 0.244, 0.110], [0.567, 0.110, 0.756], [0.250, 0.500, 0.500], [0.621, 0.425, 0.836], [0.954, 0.164, 0.425], [0.543, 0.836, 0.575], [0.882, 0.575, 0.164], [0.379, 0.575, 0.164], [0.750, 0.500, 0.500], [0.118, 0.425, 0.836], [0.457, 0.164, 0.425], [0.046, 0.836, 0.575]]
}

=====

{
  "formula": "Ho3TlNi2",
  "functional": "PBE",
  "state": "relaxed",
  "lattice": [[4.276, 0.000, 0.000], [0.000, 7.020, 0.000], [0.000, 0.000, 9.100]],
  "species": ["Ho", "Ho", "Ho", "Ho", "Ho", "Ho", "Tl", "Tl", "Ni", "Ni", "Ni", "Ni"],
  "frac_coords": [[0.500, 0.181, 0.161], [0.500, 0.212, 0.743], [0.000, 0.327, 0.441], [0.500, 0.681, 0.839], [0.500, 0.712, 0.257], [0.000, 0.827, 0.559], [0.000, 0.960, 0.970], [0.000, 0.460, 0.030], [0.000, 0.977, 0.285], [0.500, 0.044, 0.449], [0.000, 0.477, 0.715], [0.500, 0.544, 0.551]]
}

=====

{
  "formula": "LiZn4Ga5",
  "functional": "PBE",
  "state": "relaxed",
  "de_polymorph_ev_per_atom": 0.051,
  "lattice": [[5.148, 0.000, 0.000], [2.574, 5.888, 0.000], [2.574, 0.000, 5.888]],
  "species": ["Li", "Zn", "Zn", "Zn", "Zn", "Ga", "Ga", "Ga", "Ga", "Ga"],
  "frac_coords": [[0.181, 0.000, 0.000], [0.319, 0.382, 0.885], [0.700, 0.885, 0.618], [0.203, 0.115, 0.382], [0.585, 0.618, 0.115], [0.894, 0.401, 0.724], [0.295, 0.724, 0.599], [0.618, 0.276, 0.401], [0.019, 0.599, 0.276], [0.696, 0.000, 0.000]]
}

=====

{
  "formula": "Tl4SbP",
  "functional": "PBE",
  "state": "relaxed",
  "de_polymorph_ev_per_atom": 0.000,
  "formation_energy_uncorrected_ev_per_atom": 0.10,
  "lattice": [[7.239, -0.527, -1.729], [-4.472, 7.119, -4.429], [-1.840, -1.461, 9.207]],
  "species": ["Tl", "Tl", "Tl", "Tl", "Tl", "Tl", "Tl", "Tl", "Sb", "Sb", "P", "P"],
  "frac_coords": [[0.876, 0.682, 0.813], [0.168, 0.957, 0.370], [0.624, 0.187, 0.318], [0.332, 0.630, 0.043], [0.668, 0.370, 0.957], [0.376, 0.813, 0.682], [0.832, 0.043, 0.630], [0.124, 0.318, 0.187], [0.750, 0.608, 0.392], [0.250, 0.392, 0.608], [0.250, 0.086, 0.914], [0.750, 0.914, 0.086]]
}

=====

{
  "formula": "Na2LaGa2",
  "functional": "PBE",
  "state": "relaxed",
  "de_polymorph_ev_per_atom": 0.150,
  "lattice": [[7.639, 0.000, 0.000], [0.000, 7.639, 0.000], [0.000, 0.000, 4.952]],
  "species": ["Na", "Na", "Na", "Na", "Ga", "Ga", "Ga", "Ga", "La", "La"],
  "frac_coords": [[0.167, 0.667, 0.500], [0.667, 0.833, 0.500], [0.833, 0.333, 0.500], [0.333, 0.167, 0.500], [0.383, 0.883, 0.000], [0.883, 0.617, 0.000], [0.617, 0.117, 0.000], [0.117, 0.383, 0.000], [0.000, 0.000, 0.000], [0.500, 0.500, 0.000]]
}

=====

{
  "formula": "Pr4ZnNi",
  "functional": "PBE",
  "state": "relaxed",
  "de_polymorph_ev_per_atom": 0.129,
  "lattice": [[-1.494, 6.973, 0.145], [-6.693, -1.488, 2.564], [2.597, -0.274, 6.622]],
  "species": ["Pr", "Pr", "Pr", "Pr", "Pr", "Pr", "Pr", "Pr", "Zn", "Zn", "Ni", "Ni"],
  "frac_coords": [[0.877, 0.652, 0.173], [0.623, 0.152, 0.827], [0.313, 0.335, 0.344], [0.187, 0.835, 0.656], [0.123, 0.348, 0.827], [0.377, 0.848, 0.173], [0.687, 0.665, 0.656], [0.813, 0.165, 0.344], [0.000, 0.000, 0.000], [0.500, 0.500, 0.000], [0.500, 0.000, 0.500], [0.000, 0.500, 0.500]]
}

=====

{
  "formula": "TiFe2Pd9",
  "functional": "PBE",
  "state": "relaxed",
  "lattice": [[-0.085, 0.660, -3.850], [-3.579, -1.557, -0.188], [-4.694, 10.558, 1.915]],
  "species": ["Ti", "Fe", "Fe", "Pd", "Pd", "Pd", "Pd", "Pd", "Pd", "Pd", "Pd", "Pd"],
  "frac_coords": [[0.000, 0.000, 0.000], [0.000, 0.000, 0.336], [0.000, 0.000, 0.664], [0.500, 0.500, 0.000], [0.500, 0.500, 0.333], [0.500, 0.500, 0.667], [0.500, 0.000, 0.167], [0.500, 0.000, 0.500], [0.500, 0.000, 0.833], [0.000, 0.500, 0.167], [0.000, 0.500, 0.500], [0.000, 0.500, 0.833]]
}

=====

{
  "formula": "CaPd6Au5",
  "functional": "PBE",
  "state": "relaxed",
  "lattice": [[-3.587, 1.227, 1.986], [-0.707, -6.934, 3.008], [5.564, 4.690, 2.541]],
  "species": ["Ca", "Au", "Au", "Au", "Au", "Au", "Pd", "Pd", "Pd", "Pd", "Pd", "Pd"],
  "frac_coords": [[0.000, 0.000, 0.000], [0.664, 0.164, 0.327], [0.330, 0.330, 0.660], [0.000, 0.500, 0.000], [0.670, 0.670, 0.340], [0.336, 0.836, 0.673], [0.831, 0.575, 0.661], [0.831, 0.087, 0.661], [0.500, 0.738, 0.000], [0.500, 0.262, 0.000], [0.169, 0.913, 0.339], [0.169, 0.425, 0.339]]
}

=====

{
  "formula": "La3P2",
  "functional": "PBE",
  "state": "relaxed",
  "de_polymorph_ev_per_atom": 0.038,
  "lattice": [[-0.676, 6.781, -2.401], [-5.106, 1.624, -4.847], [-6.373, 4.181, 2.729]],
  "species": ["P", "P", "P", "P", "La", "La", "La", "La", "La", "La"],
  "frac_coords": [[0.838, 0.838, 0.485], [0.338, 0.338, 0.985], [0.162, 0.162, 0.515], [0.662, 0.662, 0.015], [0.074, 0.750, 0.750], [0.750, 0.426, 0.750], [0.426, 0.074, 0.750], [0.250, 0.574, 0.250], [0.574, 0.926, 0.250], [0.926, 0.250, 0.250]]
}

=====

{
  "formula": "TaSi2Ir",
  "functional": "PBE",
  "state": "relaxed",
  "formation_energy_uncorrected_ev_per_atom": -0.45,
  "lattice": [[2.898, 0.000, 0.000], [0.000, 3.518, 0.000], [0.000, 0.000, 5.738]],
  "species": ["Ir", "Si", "Si", "Ta"],
  "frac_coords": [[0.500, 0.500, 0.804], [0.000, 0.000, 0.988], [0.500, 0.500, 0.238], [0.000, 0.000, 0.470]]
}

=====

no.,total energy (eV per atom),size of the total moment (μB/f.u.)
1,-1.936,2.5
2,-1.901,0.0
3,-4.329,0.0
4,-4.986,0.0
5,-2.175,0.0
6,-3.066,0.0
7,-2.749,0.0
8,-4.424,0.0
9,-6.240,8.8
10,-4.376,0.0
11,-6.301,0.6
12,-8.344,0.0